Density functional theory data (PBE) for a relaxed structure of Li2La2Pr3Bi4.

## Properties
Crystal system: trigonal
Total energy (eV/atom): -4.65

Cell lengths 4.678, 4.678, 18.698 Å; angles 90.00, 90.00, 120.00 degrees
Sites, in units of the cell vectors:
Li 0.333 0.667 0.119
Li 0.667 0.333 0.881
La 0.333 0.667 0.580
La 0.667 0.333 0.420
Pr 0.000 0.000 0.000
Pr 0.000 0.000 0.226
Pr 0.000 0.000 0.774
Bi 0.333 0.667 0.322
Bi 0.333 0.667 0.890
Bi 0.667 0.333 0.110
Bi 0.667 0.333 0.678

Density functional theory data (PBE) for a relaxed structure of MgPb3.

## Properties
Crystal system: orthorhombic
Total energy (eV/atom): -3.16

Cell lengths 6.527, 6.527, 6.527 Å; angles 148.05, 63.42, 126.79 degrees
Sites, in units of the cell vectors:
Mg 0.000 0.000 0.000
Pb 0.344 0.609 0.734
Pb 0.522 0.022 0.500
Pb 0.875 0.609 0.266

Density functional theory data (PBE) for a relaxed structure of Zr2NbBi.

## Properties
Crystal system: trigonal
Total energy (eV/atom): -7.67

Cell lengths 9.460, 9.460, 9.460 Å; angles 20.81, 20.81, 20.81 degrees
Sites, in units of the cell vectors:
Zr 0.243 0.243 0.243
Zr 0.757 0.757 0.757
Nb 0.500 0.500 0.500
Bi 0.000 0.000 0.000